# 1
Density functional theory data (GGA-PBE) for a relaxed structure of LiEuCdAs.

abc: 5.114 5.114 5.114
angles: 60.00 60.00 60.00
Fractional positions:
Li  0.000  0.000  0.000
Eu  0.500  0.500  0.500
Cd  0.250  0.250  0.250
As  0.750  0.750  0.750

Computed properties:
E_tot in eV per atom: -5.0030
Density of states at the Fermi level in states/eV/cell: 0.456

# 2
Density functional theory data (GGA-PBE) for a relaxed structure of NaEuCdAs.

abc: 5.255 5.255 5.255
angles: 60.00 60.00 60.00
Fractional positions:
Na  0.000  0.000  0.000
Eu  0.500  0.500  0.500
Cd  0.250  0.250  0.250
As  0.750  0.750  0.750

Computed properties:
E_tot in eV per atom: -4.8187
Density of states at the Fermi level in states/eV/cell: 8.087

# 3
Density functional theory data (GGA-PBE) for a relaxed structure of CdAsF2.

abc: 5.529 5.529 5.529
angles: 104.53 104.53 119.89
Fractional positions:
Cd  0.000  0.000  0.000
Cd  0.750  0.250  0.500
As  0.250  0.750  0.500
As  0.500  0.500  0.000
F  0.148  0.125  0.523
F  0.375  0.852  0.977
F  0.602  0.625  0.477
F  0.875  0.398  0.023

Computed properties:
Uncorrected formation energy in meV per atom: -945.3
E_tot in eV per atom: -3.2721
Density of states at the Fermi level in states/eV/cell: 2.347

# 4
Density functional theory data (GGA-PBE) for a relaxed structure of Cd2AsF.

abc: 7.226 7.226 7.226
angles: 34.67 34.67 34.67
Fractional positions:
Cd  0.106  0.106  0.106
Cd  0.894  0.894  0.894
As  0.500  0.500  0.500
F  0.000  0.000  0.000

Computed properties:
Uncorrected formation energy in meV per atom: -769.1
E_tot in eV per atom: -2.8569
Density of states at the Fermi level in states/eV/cell: 0.507

# 5
Density functional theory data (GGA-PBE) for a relaxed structure of Cd2AsF.

abc: 4.689 4.689 4.689
angles: 60.00 60.00 60.00
Fractional positions:
Cd  0.250  0.250  0.250
Cd  0.750  0.750  0.750
As  0.000  0.000  0.000
F  0.500  0.500  0.500

Computed properties:
Uncorrected formation energy in meV per atom: -662.8
E_tot in eV per atom: -2.7505
Density of states at the Fermi level in states/eV/cell: 0.124

# 6
Density functional theory data (GGA-PBE) for a relaxed structure of CdAsF2.

abc: 4.417 4.417 4.417
angles: 60.00 60.00 60.00
Fractional positions:
Cd  0.000  0.000  0.000
As  0.500  0.500  0.500
F  0.250  0.250  0.250
F  0.750  0.750  0.750

Computed properties:
Uncorrected formation energy in meV per atom: -701.3
E_tot in eV per atom: -3.0282
Density of states at the Fermi level in states/eV/cell: 2.482

# 7
Density functional theory data (GGA-PBE) for a relaxed structure of CdAsF3.

abc: 4.444 4.444 4.444
angles: 90.00 90.00 90.00
Fractional positions:
Cd  0.000  0.000  0.000
As  0.500  0.500  0.500
F  0.000  0.000  0.500
F  0.000  0.500  0.000
F  0.500  0.000  0.000

Computed properties:
Uncorrected formation energy in meV per atom: -1104.6
E_tot in eV per atom: -3.3403
Density of states at the Fermi level in states/eV/cell: 5.436

# 8
Density functional theory data (GGA-PBE) for a relaxed structure of CdAs2F8.

abc: 7.134 7.134 10.902
angles: 113.85 113.85 48.64
Fractional positions:
Cd  0.157  0.843  0.750
Cd  0.843  0.157  0.250
As  0.222  0.526  0.373
As  0.474  0.778  0.127
As  0.526  0.222  0.873
As  0.778  0.474  0.627
F  0.015  0.255  0.747
F  0.038  0.782  0.522
F  0.218  0.962  0.978
F  0.255  0.015  0.247
F  0.269  0.460  0.739
F  0.336  0.612  0.075
F  0.388  0.664  0.425
F  0.460  0.269  0.239
F  0.540  0.731  0.761
F  0.612  0.336  0.575
F  0.664  0.388  0.925
F  0.731  0.540  0.261
F  0.745  0.985  0.753
F  0.782  0.038  0.022
F  0.962  0.218  0.478
F  0.985  0.745  0.253

Computed properties:
Uncorrected formation energy in meV per atom: -2110.6
E_tot in eV per atom: -4.4002
Density of states at the Fermi level in states/eV/cell: 0.000